1.
# InNi2Ir GGA-PBE relaxed
data_InNi2Ir
_cell_length_a 8.872
_cell_length_b 2.855
_cell_length_c 4.579
_cell_angle_alpha 90.00
_cell_angle_beta 102.99
_cell_angle_gamma 90.00
_space_group_name_H-M_alt 'C 1 m 1'
_space_group_IT_number 8
loop_
_space_group_symop_operation_xyz
'x,y,z'
'x,-y,z'
'x+1/2,y+1/2,z'
'x+1/2,-y+1/2,z'
loop_
_atom_site_label
_atom_site_type_symbol
_atom_site_fract_x
_atom_site_fract_y
_atom_site_fract_z
In1 In 0.000 0.000 0.000
Ni1 Ni 0.005 0.500 0.512
Ni2 Ni 0.247 0.000 0.757
Ir1 Ir 0.260 0.500 0.298
# - energy of formation from the pure elements (eV per atom) = 0.037
# - raw total energy (eV per atom) = -5.753



2.
# In2NiIr GGA-PBE relaxed
data_In2NiIr
_cell_length_a 6.467
_cell_length_b 6.467
_cell_length_c 6.467
_cell_angle_alpha 90.00
_cell_angle_beta 90.00
_cell_angle_gamma 90.00
_space_group_name_H-M_alt 'F -4 3 m'
_space_group_IT_number 216
_space_group_name_Hall 'F -4 2 3'
loop_
_atom_site_label
_atom_site_type_symbol
_atom_site_fract_x
_atom_site_fract_y
_atom_site_fract_z
In1 In 0.000 0.000 0.000
In2 In 0.250 0.250 0.250
Ni1 Ni 0.250 0.250 0.750
Ir1 Ir 0.000 0.000 0.500
# - energy of formation from the pure elements (eV per atom) = 0.227
# - raw total energy (eV per atom) = -4.803



3.
# InNi2Ir GGA-PBE relaxed
data_InNi2Ir
_cell_length_a 6.124
_cell_length_b 6.124
_cell_length_c 6.124
_cell_angle_alpha 90.00
_cell_angle_beta 90.00
_cell_angle_gamma 90.00
_space_group_name_H-M_alt 'F -4 3 m'
_space_group_IT_number 216
_space_group_name_Hall 'F -4 2 3'
loop_
_atom_site_label
_atom_site_type_symbol
_atom_site_fract_x
_atom_site_fract_y
_atom_site_fract_z
In1 In 0.000 0.000 0.000
Ni1 Ni 0.000 0.000 0.500
Ni2 Ni 0.250 0.250 0.750
Ir1 Ir 0.250 0.250 0.250
# - energy of formation from the pure elements (eV per atom) = 0.090
# - raw total energy (eV per atom) = -5.701



4.
# InNiIr2 GGA-PBE relaxed
data_InNiIr2
_cell_length_a 2.8856
_cell_length_b 2.8856
_cell_length_c 25.3933
_cell_angle_alpha 90.00
_cell_angle_beta 90.00
_cell_angle_gamma 120.00
_space_group_name_H-M_alt 'R -3 m'
_space_group_IT_number 166
_space_group_name_Hall '-R 3 2"'
loop_
_atom_site_label
_atom_site_type_symbol
_atom_site_fract_x
_atom_site_fract_y
_atom_site_fract_z
In1 In 0.0000 0.0000 0.0000
Ni1 Ni 0.0000 0.0000 0.5000
Ir1 Ir 0.0000 0.0000 0.2431
# - energy of formation from the pure elements (eV per atom) = 0.229
# - raw total energy (eV per atom) = -6.331



5.
# InNi14Ir GGA-PBE relaxed
data_InNi14Ir
_cell_length_a 8.284
_cell_length_b 5.165
_cell_length_c 8.821
_cell_angle_alpha 90.00
_cell_angle_beta 90.00
_cell_angle_gamma 90.00
_space_group_name_H-M_alt 'A m m 2'
_space_group_IT_number 38
loop_
_space_group_symop_operation_xyz
'x,y,z'
'-x,-y,z'
'-x,y,z'
'x,-y,z'
'x,y+1/2,z+1/2'
'-x,-y+1/2,z+1/2'
'-x,y+1/2,z+1/2'
'x,-y+1/2,z+1/2'
loop_
_atom_site_label
_atom_site_type_symbol
_atom_site_fract_x
_atom_site_fract_y
_atom_site_fract_z
In1 In 0.000 0.000 0.000
Ni1 Ni 0.000 0.249 0.250
Ni2 Ni 0.253 0.000 0.331
Ni3 Ni 0.261 0.000 0.828
Ni4 Ni 0.261 0.245 0.584
Ni5 Ni 0.500 0.000 0.164
Ni6 Ni 0.500 0.000 0.663
Ni7 Ni 0.500 0.249 0.413
Ir1 Ir 0.000 0.000 0.501
# - energy of formation from the pure elements (eV per atom) = 0.053
# - raw total energy (eV per atom) = -5.730



6.
# InNiIr2 GGA-PBE relaxed
data_InNiIr2
_cell_length_a 3.954
_cell_length_b 3.954
_cell_length_c 7.716
_cell_angle_alpha 90.00
_cell_angle_beta 90.00
_cell_angle_gamma 90.00
_space_group_name_H-M_alt 'I -4 m 2'
_space_group_IT_number 119
_space_group_name_Hall 'I -4 -2'
loop_
_atom_site_label
_atom_site_type_symbol
_atom_site_fract_x
_atom_site_fract_y
_atom_site_fract_z
In1 In 0.000 0.000 0.000
Ni1 Ni 0.000 0.500 0.250
Ir1 Ir 0.000 0.000 0.500
Ir2 Ir 0.000 0.500 0.750
# - energy of formation from the pure elements (eV per atom) = 0.097
# - raw total energy (eV per atom) = -6.463



7.
# In2NiIr GGA-PBE relaxed
data_In2NiIr
_cell_length_a 3.075
_cell_length_b 4.645
_cell_length_c 4.678
_cell_angle_alpha 90.00
_cell_angle_beta 90.00
_cell_angle_gamma 90.00
_space_group_name_H-M_alt 'P m m 2'
_space_group_IT_number 25
loop_
_space_group_symop_operation_xyz
'x,y,z'
'-x,-y,z'
'-x,y,z'
'x,-y,z'
loop_
_atom_site_label
_atom_site_type_symbol
_atom_site_fract_x
_atom_site_fract_y
_atom_site_fract_z
In1 In 0.000 0.000 0.000
In2 In 0.000 0.500 0.466
Ni1 Ni 0.500 0.000 0.509
Ir1 Ir 0.500 0.500 0.959
# - energy of formation from the pure elements (eV per atom) = -0.040
# - raw total energy (eV per atom) = -5.070



8.
# InNi2Ir GGA-PBE relaxed
data_InNi2Ir
_cell_length_a 3.868
_cell_length_b 3.868
_cell_length_c 7.590
_cell_angle_alpha 90.00
_cell_angle_beta 90.00
_cell_angle_gamma 90.00
_space_group_name_H-M_alt 'I -4 m 2'
_space_group_IT_number 119
_space_group_name_Hall 'I -4 -2'
loop_
_atom_site_label
_atom_site_type_symbol
_atom_site_fract_x
_atom_site_fract_y
_atom_site_fract_z
In1 In 0.000 0.000 0.000
Ni1 Ni 0.000 0.000 0.500
Ni2 Ni 0.000 0.500 0.250
Ir1 Ir 0.000 0.500 0.750
# - energy of formation from the pure elements (eV per atom) = 0.027
# - raw total energy (eV per atom) = -5.763